Below is a relaxed structure of V2WO, with properties calculated at the PBE+U level.

Unit cell a=5.5084 b=5.5084 c=5.5084 alpha=107.87 beta=107.87 gamma=112.72
Fractional coordinates of all 8 atoms:
V  0.0081  0.1250  0.3831
V  0.3750  0.9919  0.1169
V  0.7419  0.6250  0.6169
V  0.8750  0.2581  0.8831
W  0.2500  0.7500  0.5000
W  0.5000  0.5000  0.0000
O  0.0000  0.0000  0.0000
O  0.7500  0.2500  0.5000

Calculated values
Theoretical density in g/cm3: 7.8
Energy in eV per atom: -6.411
Total magnetic moment in μB per atom: 0.4395